Entry from the Open Quantum Materials Database: crystalline ZnCoPO at its relaxed geometry (PBE with a Hubbard U).

a = 3.1994 Å, b = 6.2277 Å, c = 5.8961 Å
α = 90.00°, β = 90.00°, γ = 90.00°
Fractional positions:
O: 0.0000 0.3498 0.3645
O: 0.0000 0.6502 0.8645
P: 0.5000 0.1761 0.8788
P: 0.5000 0.8239 0.3788
Co: 0.0000 0.3793 0.0343
Co: 0.0000 0.6207 0.5343
Zn: 0.5000 0.8110 0.9764
Zn: 0.5000 0.1890 0.4764

Properties
- VASP energy (eV/atom) = -4.630
- magnetic moment (μB per cell) = 4.0
- space group = Pmc2_1, No. 26
- calculated volume (Å³/cell) = 117.5